Below is Pr2Zn5AgRh2 after structural relaxation, with properties calculated at the GGA-PBE level.

abc: 3.8903 9.9019 9.9019
angles: 90.00 90.00 90.00
With the nearest neighbours (Å) after each atom.
Positions (direct):
Pr 0.0000 0.3182 0.8182  3 Rh 2.79-3.04
Pr 0.0000 0.1818 0.3182  3 Rh 2.79-3.04
Pr 0.0000 0.6818 0.1818  3 Rh 2.79-3.04
Pr 0.0000 0.8182 0.6818  3 Rh 2.79-3.04
Zn 0.5000 0.2018 0.0544  2 Rh 2.71, 2 Ag 2.84, 3 Zn 2.93-3.00
Zn 0.5000 0.5544 0.7018  2 Rh 2.71, 2 Ag 2.84, 3 Zn 2.93-3.00
Zn 0.5000 0.9456 0.2018  2 Rh 2.71, 2 Ag 2.84, 3 Zn 2.93-3.00
Zn 0.5000 0.0544 0.7982  2 Rh 2.71, 2 Ag 2.84, 3 Zn 2.93-3.00
Zn 0.5000 0.4456 0.2982  2 Rh 2.71, 2 Ag 2.84, 3 Zn 2.93-3.00
Zn 0.5000 0.0000 0.5000  4 Rh 2.56
Zn 0.5000 0.5000 0.0000  4 Rh 2.56
Zn 0.5000 0.7018 0.4456  2 Rh 2.71, 2 Ag 2.84, 3 Zn 2.93-3.00
Zn 0.5000 0.7982 0.9456  2 Rh 2.71, 2 Ag 2.84, 3 Zn 2.93-3.00
Zn 0.5000 0.2982 0.5544  2 Rh 2.71, 2 Ag 2.84, 3 Zn 2.93-3.00
Rh 0.0000 0.8808 0.3808  6 Zn 2.56-2.71, 1 Pr 2.79
Rh 0.0000 0.6192 0.8808  6 Zn 2.56-2.71, 1 Pr 2.79
Rh 0.0000 0.1192 0.6192  6 Zn 2.56-2.71, 1 Pr 2.79
Rh 0.0000 0.3808 0.1192  6 Zn 2.56-2.71, 1 Pr 2.79
Ag 0.0000 0.5000 0.5000  8 Zn 2.84
Ag 0.0000 0.0000 0.0000  8 Zn 2.84

Properties
Raw total energy, eV per atom: -3.690
SG: P4/mbm